Entry 1:
An optimized crystal structure of Pr2AlGe3Pd4, computed with GGA-PBE. Values from VASP.

Geometry as Quantum ESPRESSO input:
```
&SYSTEM
  ibrav = 0, nat = 10, ntyp = 4
/
ATOMIC_SPECIES
Pr 140.91 Pr.upf
Al 26.98 Al.upf
Ge 72.64 Ge.upf
Pd 106.42 Pd.upf
CELL_PARAMETERS angstrom
4.3476 0.0000 0.0000
0.0000 4.3476 0.0000
0.0000 0.0000 10.2651
ATOMIC_POSITIONS crystal
Pr 0.0000 0.5000 0.2489
Pr 0.5000 0.0000 0.7511
Al 0.0000 0.0000 0.5000
Ge 0.0000 0.5000 0.8702
Ge 0.5000 0.0000 0.1298
Ge 0.5000 0.5000 0.5000
Pd 0.0000 0.0000 0.0000
Pd 0.0000 0.5000 0.6279
Pd 0.5000 0.0000 0.3721
Pd 0.5000 0.5000 0.0000
```

Properties
The value obtained for the volume is 194.0 Å³ per cell. The formation energy comes out at -83 kJ per mole of atoms. Its total DFT energy (no corrections) is -5.649 eV/atom.

Entry 2:
An optimized crystal structure of CsBaSb, computed with GGA-PBE. Values from VASP.

Geometry as Quantum ESPRESSO input:
```
&SYSTEM
  ibrav = 0, nat = 6, ntyp = 3
/
ATOMIC_SPECIES
Cs 132.91 Cs.upf
Ba 137.33 Ba.upf
Sb 121.76 Sb.upf
CELL_PARAMETERS angstrom
3.1056 -5.2086 0.0000
3.1056 5.2086 0.0000
0.0000 0.0000 8.4328
ATOMIC_POSITIONS crystal
Cs 0.1636 0.8364 0.7500
Cs 0.8364 0.1636 0.2500
Ba 0.5000 0.5000 0.0000
Ba 0.5000 0.5000 0.5000
Sb 0.1745 0.8255 0.2500
Sb 0.8255 0.1745 0.7500
```

Properties
The value obtained for the volume is 272.8 Å³ per cell. For the uncorrected formation energy, the calculation gives -1.5 eV per formula unit. Its total DFT energy (no corrections) is -2.792 eV/atom.

What did the first record say?
An optimized crystal structure of Pr2AlGe3Pd4, computed with GGA-PBE. Values from VASP.

Geometry as Quantum ESPRESSO input:
```
&SYSTEM
  ibrav = 0, nat = 10, ntyp = 4
/
ATOMIC_SPECIES
Pr 140.91 Pr.upf
Al 26.98 Al.upf
Ge 72.64 Ge.upf
Pd 106.42 Pd.upf
CELL_PARAMETERS angstrom
4.3476 0.0000 0.0000
0.0000 4.3476 0.0000
0.0000 0.0000 10.2651
ATOMIC_POSITIONS crystal
Pr 0.0000 0.5000 0.2489
Pr 0.5000 0.0000 0.7511
Al 0.0000 0.0000 0.5000
Ge 0.0000 0.5000 0.8702
Ge 0.5000 0.0000 0.1298
Ge 0.5000 0.5000 0.5000
Pd 0.0000 0.0000 0.0000
Pd 0.0000 0.5000 0.6279
Pd 0.5000 0.0000 0.3721
Pd 0.5000 0.5000 0.0000
```

Properties
The value obtained for the volume is 194.0 Å³ per cell. The formation energy comes out at -83 kJ per mole of atoms. Its total DFT energy (no corrections) is -5.649 eV/atom.

Question: What is the formula in the second record?
Answer: CsBaSb

What did the second record say?
An optimized crystal structure of CsBaSb, computed with GGA-PBE. Values from VASP.

Geometry as Quantum ESPRESSO input:
```
&SYSTEM
  ibrav = 0, nat = 6, ntyp = 3
/
ATOMIC_SPECIES
Cs 132.91 Cs.upf
Ba 137.33 Ba.upf
Sb 121.76 Sb.upf
CELL_PARAMETERS angstrom
3.1056 -5.2086 0.0000
3.1056 5.2086 0.0000
0.0000 0.0000 8.4328
ATOMIC_POSITIONS crystal
Cs 0.1636 0.8364 0.7500
Cs 0.8364 0.1636 0.2500
Ba 0.5000 0.5000 0.0000
Ba 0.5000 0.5000 0.5000
Sb 0.1745 0.8255 0.2500
Sb 0.8255 0.1745 0.7500
```

Properties
The value obtained for the volume is 272.8 Å³ per cell. For the uncorrected formation energy, the calculation gives -1.5 eV per formula unit. Its total DFT energy (no corrections) is -2.792 eV/atom.

Question: Look up the total DFT energy (no corrections) of the first one.
Answer: -5.649 eV/atom